No. 1
VASP calculation (PBE) on a geometry-optimized LiAlInHg structure.

- Total energy: -9.01 eV/cell

Geometry as extended XYZ:
```
4
Lattice="0.000 3.449 3.449 3.449 0.000 3.449 3.449 3.449 0.000" Properties=species:S:1:pos:R:3 pbc="T T T"
Li 0.000 0.000 0.000
Al 3.449 3.449 3.449
In 1.724 1.724 1.724
Hg 5.173 5.173 5.173
```

No. 2
VASP calculation (PBE) on a geometry-optimized Li2AlIn2Hg5 structure.

- Total energy: -30.67 eV/cell

Geometry as extended XYZ:
```
20
Lattice="12.028 0.000 0.000 0.000 12.028 0.000 0.000 0.000 3.184" Properties=species:S:1:pos:R:3 pbc="T T T"
Li 1.621 4.393 0.000
Li 4.393 10.407 0.000
Li 7.635 1.621 0.000
Li 10.407 7.635 0.000
Al 0.000 0.000 0.000
Al 6.014 6.014 0.000
In 2.128 8.142 0.000
In 3.886 2.128 0.000
In 8.142 9.900 0.000
In 9.900 3.886 0.000
Hg 0.000 6.014 1.592
Hg 0.629 2.351 1.592
Hg 2.351 11.399 1.592
Hg 3.663 5.385 1.592
Hg 5.385 8.365 1.592
Hg 6.014 0.000 1.592
Hg 6.642 3.663 1.592
Hg 8.365 6.642 1.592
Hg 9.677 0.629 1.592
Hg 11.399 9.677 1.592
```

No. 3
VASP calculation (PBE) on a geometry-optimized Nd4AlInHg2 structure.

- Total energy: -29.59 eV/cell

Geometry as extended XYZ:
```
8
Lattice="2.712 1.566 8.866 -2.712 1.566 8.866 0.000 -3.132 8.866" Properties=species:S:1:pos:R:3 pbc="T T T"
Nd 0.000 0.000 3.238
Nd 0.000 0.000 9.886
Nd 0.000 0.000 16.712
Nd 0.000 0.000 23.360
Al 0.000 0.000 0.000
In 0.000 0.000 13.299
Hg 0.000 0.000 6.606
Hg 0.000 0.000 19.992
```